Run P
ScReBr2 | PBE-GGA | optimized geometry

```
data_ScReBr2
_chemical_formula_sum 'Sc3 Re3 Br6'
_space_group_name_H-M_alt 'R -3 m'
_space_group_IT_number 166
_space_group_name_Hall '-R 3 2"'
_cell_length_a 3.2940
_cell_length_b 3.2940
_cell_length_c 30.1299
_cell_angle_alpha 90.00
_cell_angle_beta 90.00
_cell_angle_gamma 120.00
loop_
_atom_site_label
_atom_site_type_symbol
_atom_site_fract_x
_atom_site_fract_y
_atom_site_fract_z
Sc1 Sc 0.0000 0.0000 0.0000
Re1 Re 0.0000 0.0000 0.5000
Br1 Br 0.0000 0.0000 0.2713
```

Run Q
ScReBr2 | PBE-GGA | optimized geometry

```
data_ScReBr2
_chemical_formula_sum 'Sc2 Re2 Br4'
_space_group_name_H-M_alt 'C m m 2'
_space_group_IT_number 35
_cell_length_a 3.336
_cell_length_b 5.672
_cell_length_c 9.858
_cell_angle_alpha 90.00
_cell_angle_beta 90.00
_cell_angle_gamma 90.00
loop_
_space_group_symop_operation_xyz
'x,y,z'
'-x,-y,z'
'-x,y,z'
'x,-y,z'
'x+1/2,y+1/2,z'
'-x+1/2,-y+1/2,z'
'-x+1/2,y+1/2,z'
'x+1/2,-y+1/2,z'
loop_
_atom_site_label
_atom_site_type_symbol
_atom_site_fract_x
_atom_site_fract_y
_atom_site_fract_z
Sc1 Sc 0.000 0.000 0.000
Re1 Re 0.000 0.500 0.780
Br1 Br 0.000 0.000 0.580
Br2 Br 0.000 0.500 0.207
```

Run R
ScReBr2 | PBE-GGA | optimized geometry

```
data_ScReBr2
_chemical_formula_sum 'Sc2 Re2 Br4'
_space_group_name_H-M_alt 'C 1 m 1'
_space_group_IT_number 8
_cell_length_a 11.606
_cell_length_b 3.285
_cell_length_c 5.770
_cell_angle_alpha 90.00
_cell_angle_beta 92.99
_cell_angle_gamma 90.00
loop_
_space_group_symop_operation_xyz
'x,y,z'
'x,-y,z'
'x+1/2,y+1/2,z'
'x+1/2,-y+1/2,z'
loop_
_atom_site_label
_atom_site_type_symbol
_atom_site_fract_x
_atom_site_fract_y
_atom_site_fract_z
Sc1 Sc 0.000 0.000 0.000
Re1 Re 0.111 0.500 0.742
Br1 Br 0.244 0.000 0.961
Br2 Br 0.473 0.000 0.397
```

What should be chosen as the least stable of them? Choose run P.

Run P
ScRe3Br | PBE-GGA | optimized geometry

```
data_ScRe3Br
_chemical_formula_sum 'Sc1 Re3 Br1'
_space_group_name_H-M_alt 'P m -3 m'
_space_group_IT_number 221
_space_group_name_Hall '-P 4 2 3'
_cell_length_a 4.729
_cell_length_b 4.729
_cell_length_c 4.729
_cell_angle_alpha 90.00
_cell_angle_beta 90.00
_cell_angle_gamma 90.00
loop_
_atom_site_label
_atom_site_type_symbol
_atom_site_fract_x
_atom_site_fract_y
_atom_site_fract_z
Sc1 Sc 0.000 0.000 0.000
Re1 Re 0.000 0.000 0.500
Br1 Br 0.500 0.500 0.500
```

Run Q
ScRe3Br | PBE-GGA | optimized geometry

```
data_ScRe3Br
_chemical_formula_sum 'Sc1 Re3 Br1'
_space_group_name_H-M_alt 'P m -3 m'
_space_group_IT_number 221
_space_group_name_Hall '-P 4 2 3'
_cell_length_a 4.568
_cell_length_b 4.568
_cell_length_c 4.568
_cell_angle_alpha 90.00
_cell_angle_beta 90.00
_cell_angle_gamma 90.00
loop_
_atom_site_label
_atom_site_type_symbol
_atom_site_fract_x
_atom_site_fract_y
_atom_site_fract_z
Sc1 Sc 0.000 0.000 0.000
Re1 Re 0.000 0.500 0.500
Br1 Br 0.500 0.500 0.500
```

What should be chosen as the least stable of them? Choose run P.

Run P
ReSe3Br | PBE-GGA | optimized geometry

```
data_ReSe3Br
_chemical_formula_sum 'Re2 Se6 Br2'
_space_group_name_H-M_alt 'P -1'
_space_group_IT_number 2
_cell_length_a 4.908
_cell_length_b 7.611
_cell_length_c 8.735
_cell_angle_alpha 73.28
_cell_angle_beta 74.62
_cell_angle_gamma 88.98
loop_
_space_group_symop_operation_xyz
'x,y,z'
'-x,-y,-z'
loop_
_atom_site_label
_atom_site_type_symbol
_atom_site_fract_x
_atom_site_fract_y
_atom_site_fract_z
Re1 Re 0.194 0.308 0.131
Se1 Se 0.044 0.256 0.413
Se2 Se 0.227 0.033 0.068
Se3 Se 0.288 0.614 0.913
Br1 Br 0.429 0.236 0.558
```

Run Q
ReSe3Br | PBE-GGA | optimized geometry

```
data_ReSe3Br
_chemical_formula_sum 'Re1 Se3 Br1'
_space_group_name_H-M_alt 'P m -3 m'
_space_group_IT_number 221
_space_group_name_Hall '-P 4 2 3'
_cell_length_a 5.126
_cell_length_b 5.126
_cell_length_c 5.126
_cell_angle_alpha 90.00
_cell_angle_beta 90.00
_cell_angle_gamma 90.00
loop_
_atom_site_label
_atom_site_type_symbol
_atom_site_fract_x
_atom_site_fract_y
_atom_site_fract_z
Re1 Re 0.000 0.000 0.000
Se1 Se 0.000 0.500 0.500
Br1 Br 0.500 0.500 0.500
```

What should be chosen as the least stable of them? Choose run Q.

Run P
ReSeBr3 | PBE-GGA | optimized geometry

```
data_ReSeBr3
_chemical_formula_sum 'Re1 Se1 Br3'
_space_group_name_H-M_alt 'P m -3 m'
_space_group_IT_number 221
_space_group_name_Hall '-P 4 2 3'
_cell_length_a 5.019
_cell_length_b 5.019
_cell_length_c 5.019
_cell_angle_alpha 90.00
_cell_angle_beta 90.00
_cell_angle_gamma 90.00
loop_
_atom_site_label
_atom_site_type_symbol
_atom_site_fract_x
_atom_site_fract_y
_atom_site_fract_z
Re1 Re 0.000 0.000 0.000
Se1 Se 0.500 0.500 0.500
Br1 Br 0.000 0.000 0.500
```

Run Q
ReSeBr3 | PBE-GGA | optimized geometry

```
data_ReSeBr3
_chemical_formula_sum 'Re1 Se1 Br3'
_space_group_name_H-M_alt 'P m -3 m'
_space_group_IT_number 221
_space_group_name_Hall '-P 4 2 3'
_cell_length_a 5.424
_cell_length_b 5.424
_cell_length_c 5.424
_cell_angle_alpha 90.00
_cell_angle_beta 90.00
_cell_angle_gamma 90.00
loop_
_atom_site_label
_atom_site_type_symbol
_atom_site_fract_x
_atom_site_fract_y
_atom_site_fract_z
Re1 Re 0.000 0.000 0.000
Se1 Se 0.500 0.500 0.500
Br1 Br 0.000 0.500 0.500
```

What should be chosen as the least stable of them? Choose run Q.

Run P
ReSe4Br | PBE-GGA | optimized geometry

```
data_ReSe4Br
_chemical_formula_sum 'Re2 Se8 Br2'
_space_group_name_H-M_alt 'P -1'
_space_group_IT_number 2
_cell_length_a 6.333
_cell_length_b 7.260
_cell_length_c 8.272
_cell_angle_alpha 98.99
_cell_angle_beta 112.18
_cell_angle_gamma 105.97
loop_
_space_group_symop_operation_xyz
'x,y,z'
'-x,-y,-z'
loop_
_atom_site_label
_atom_site_type_symbol
_atom_site_fract_x
_atom_site_fract_y
_atom_site_fract_z
Re1 Re 0.224 0.498 0.499
Se1 Se 0.141 0.823 0.574
Se2 Se 0.177 0.609 0.785
Se3 Se 0.331 0.189 0.359
Se4 Se 0.455 0.638 0.322
Br1 Br 0.161 0.298 0.947
```

Run Q
ReSe4Br | PBE-GGA | optimized geometry

```
data_ReSe4Br
_chemical_formula_sum 'Re4 Se16 Br4'
_space_group_name_H-M_alt 'F -4 3 m'
_space_group_IT_number 216
_space_group_name_Hall 'F -4 2 3'
_cell_length_a 8.072
_cell_length_b 8.072
_cell_length_c 8.072
_cell_angle_alpha 90.00
_cell_angle_beta 90.00
_cell_angle_gamma 90.00
loop_
_atom_site_label
_atom_site_type_symbol
_atom_site_fract_x
_atom_site_fract_y
_atom_site_fract_z
Re1 Re 0.000 0.000 0.000
Se1 Se 0.127 0.127 0.627
Br1 Br 0.250 0.250 0.250
```

What should be chosen as the least stable of them? Choose run Q.

Run P
ReSiSeBr2 | PBE-GGA | optimized geometry

```
data_ReSiSeBr2
_chemical_formula_sum 'Re1 Si1 Se1 Br2'
_space_group_name_H-M_alt 'P 4/m m m'
_space_group_IT_number 123
_space_group_name_Hall '-P 4 2'
_cell_length_a 5.083
_cell_length_b 5.083
_cell_length_c 5.070
_cell_angle_alpha 90.00
_cell_angle_beta 90.00
_cell_angle_gamma 90.00
loop_
_atom_site_label
_atom_site_type_symbol
_atom_site_fract_x
_atom_site_fract_y
_atom_site_fract_z
Re1 Re 0.000 0.000 0.000
Si1 Si 0.500 0.500 0.500
Se1 Se 0.500 0.500 0.000
Br1 Br 0.000 0.500 0.500
```

Run Q
ReSiSeBr2 | PBE-GGA | optimized geometry

```
data_ReSiSeBr2
_chemical_formula_sum 'Re1 Si1 Se1 Br2'
_space_group_name_H-M_alt 'P 4/m m m'
_space_group_IT_number 123
_space_group_name_Hall '-P 4 2'
_cell_length_a 5.198
_cell_length_b 5.198
_cell_length_c 4.743
_cell_angle_alpha 90.00
_cell_angle_beta 90.00
_cell_angle_gamma 90.00
loop_
_atom_site_label
_atom_site_type_symbol
_atom_site_fract_x
_atom_site_fract_y
_atom_site_fract_z
Re1 Re 0.000 0.000 0.000
Si1 Si 0.500 0.500 0.500
Se1 Se 0.000 0.000 0.500
Br1 Br 0.000 0.500 0.000
```

What should be chosen as the least stable of them? Choose run P.

Run P
TaReSeBr2 | PBE-GGA | optimized geometry

```
data_TaReSeBr2
_chemical_formula_sum 'Ta1 Re1 Se1 Br2'
_space_group_name_H-M_alt 'P 4/m m m'
_space_group_IT_number 123
_space_group_name_Hall '-P 4 2'
_cell_length_a 5.149
_cell_length_b 5.149
_cell_length_c 4.716
_cell_angle_alpha 90.00
_cell_angle_beta 90.00
_cell_angle_gamma 90.00
loop_
_atom_site_label
_atom_site_type_symbol
_atom_site_fract_x
_atom_site_fract_y
_atom_site_fract_z
Ta1 Ta 0.000 0.000 0.000
Re1 Re 0.500 0.500 0.500
Se1 Se 0.500 0.500 0.000
Br1 Br 0.000 0.500 0.500
```

Run Q
TaReSeBr2 | PBE-GGA | optimized geometry

```
data_TaReSeBr2
_chemical_formula_sum 'Ta1 Re1 Se1 Br2'
_space_group_name_H-M_alt 'P 4/m m m'
_space_group_IT_number 123
_space_group_name_Hall '-P 4 2'
_cell_length_a 5.197
_cell_length_b 5.197
_cell_length_c 5.039
_cell_angle_alpha 90.00
_cell_angle_beta 90.00
_cell_angle_gamma 90.00
loop_
_atom_site_label
_atom_site_type_symbol
_atom_site_fract_x
_atom_site_fract_y
_atom_site_fract_z
Ta1 Ta 0.000 0.000 0.000
Re1 Re 0.500 0.500 0.500
Se1 Se 0.000 0.000 0.500
Br1 Br 0.000 0.500 0.000
```

What should be chosen as the least stable of them? Choose run P.

Run P
TiReSe2Br | PBE-GGA | optimized geometry

```
data_TiReSe2Br
_chemical_formula_sum 'Ti1 Re1 Se2 Br1'
_space_group_name_H-M_alt 'P 4/m m m'
_space_group_IT_number 123
_space_group_name_Hall '-P 4 2'
_cell_length_a 4.830
_cell_length_b 4.830
_cell_length_c 5.228
_cell_angle_alpha 90.00
_cell_angle_beta 90.00
_cell_angle_gamma 90.00
loop_
_atom_site_label
_atom_site_type_symbol
_atom_site_fract_x
_atom_site_fract_y
_atom_site_fract_z
Ti1 Ti 0.000 0.000 0.000
Re1 Re 0.500 0.500 0.500
Se1 Se 0.000 0.500 0.500
Br1 Br 0.500 0.500 0.000
```

Run Q
TiReSe2Br | PBE-GGA | optimized geometry

```
data_TiReSe2Br
_chemical_formula_sum 'Ti1 Re1 Se2 Br1'
_space_group_name_H-M_alt 'P 4/m m m'
_space_group_IT_number 123
_space_group_name_Hall '-P 4 2'
_cell_length_a 4.994
_cell_length_b 4.994
_cell_length_c 5.068
_cell_angle_alpha 90.00
_cell_angle_beta 90.00
_cell_angle_gamma 90.00
loop_
_atom_site_label
_atom_site_type_symbol
_atom_site_fract_x
_atom_site_fract_y
_atom_site_fract_z
Ti1 Ti 0.000 0.000 0.000
Re1 Re 0.500 0.500 0.500
Se1 Se 0.000 0.500 0.000
Br1 Br 0.000 0.000 0.500
```

What should be chosen as the least stable of them? Choose run P.

Run P
ReWSe2Br | PBE-GGA | optimized geometry

```
data_ReWSe2Br
_chemical_formula_sum 'Re1 W1 Se2 Br1'
_space_group_name_H-M_alt 'P 4/m m m'
_space_group_IT_number 123
_space_group_name_Hall '-P 4 2'
_cell_length_a 4.823
_cell_length_b 4.823
_cell_length_c 5.226
_cell_angle_alpha 90.00
_cell_angle_beta 90.00
_cell_angle_gamma 90.00
loop_
_atom_site_label
_atom_site_type_symbol
_atom_site_fract_x
_atom_site_fract_y
_atom_site_fract_z
Re1 Re 0.000 0.000 0.000
W1 W 0.500 0.500 0.500
Se1 Se 0.000 0.500 0.000
Br1 Br 0.000 0.000 0.500
```

Run Q
ReWSe2Br | PBE-GGA | optimized geometry

```
data_ReWSe2Br
_chemical_formula_sum 'Re1 W1 Se2 Br1'
_space_group_name_H-M_alt 'P 4/m m m'
_space_group_IT_number 123
_space_group_name_Hall '-P 4 2'
_cell_length_a 4.921
_cell_length_b 4.921
_cell_length_c 5.280
_cell_angle_alpha 90.00
_cell_angle_beta 90.00
_cell_angle_gamma 90.00
loop_
_atom_site_label
_atom_site_type_symbol
_atom_site_fract_x
_atom_site_fract_y
_atom_site_fract_z
Re1 Re 0.000 0.000 0.000
W1 W 0.500 0.500 0.500
Se1 Se 0.000 0.500 0.500
Br1 Br 0.500 0.500 0.000
```

What should be chosen as the least stable of them? Choose run P.

Run P
YReSeBr2 | PBE-GGA | optimized geometry

```
data_YReSeBr2
_chemical_formula_sum 'Y1 Re1 Se1 Br2'
_space_group_name_H-M_alt 'P 4/m m m'
_space_group_IT_number 123
_space_group_name_Hall '-P 4 2'
_cell_length_a 5.137
_cell_length_b 5.137
_cell_length_c 4.794
_cell_angle_alpha 90.00
_cell_angle_beta 90.00
_cell_angle_gamma 90.00
loop_
_atom_site_label
_atom_site_type_symbol
_atom_site_fract_x
_atom_site_fract_y
_atom_site_fract_z
Y1 Y 0.000 0.000 0.000
Re1 Re 0.500 0.500 0.500
Se1 Se 0.500 0.500 0.000
Br1 Br 0.000 0.500 0.500
```

Run Q
YReSeBr2 | PBE-GGA | optimized geometry

```
data_YReSeBr2
_chemical_formula_sum 'Y1 Re1 Se1 Br2'
_space_group_name_H-M_alt 'P 4/m m m'
_space_group_IT_number 123
_space_group_name_Hall '-P 4 2'
_cell_length_a 5.569
_cell_length_b 5.569
_cell_length_c 5.520
_cell_angle_alpha 90.00
_cell_angle_beta 90.00
_cell_angle_gamma 90.00
loop_
_atom_site_label
_atom_site_type_symbol
_atom_site_fract_x
_atom_site_fract_y
_atom_site_fract_z
Y1 Y 0.000 0.000 0.000
Re1 Re 0.500 0.500 0.500
Se1 Se 0.000 0.000 0.500
Br1 Br 0.000 0.500 0.000
```

What should be chosen as the least stable of them? Choose run P.

Run P
ZnReSeBr2 | PBE-GGA | optimized geometry

```
data_ZnReSeBr2
_chemical_formula_sum 'Zn1 Re1 Se1 Br2'
_space_group_name_H-M_alt 'P 4/m m m'
_space_group_IT_number 123
_space_group_name_Hall '-P 4 2'
_cell_length_a 5.258
_cell_length_b 5.258
_cell_length_c 4.753
_cell_angle_alpha 90.00
_cell_angle_beta 90.00
_cell_angle_gamma 90.00
loop_
_atom_site_label
_atom_site_type_symbol
_atom_site_fract_x
_atom_site_fract_y
_atom_site_fract_z
Zn1 Zn 0.000 0.000 0.000
Re1 Re 0.500 0.500 0.500
Se1 Se 0.500 0.500 0.000
Br1 Br 0.000 0.500 0.500
```

Run Q
ZnReSeBr2 | PBE-GGA | optimized geometry

```
data_ZnReSeBr2
_chemical_formula_sum 'Zn1 Re1 Se1 Br2'
_space_group_name_H-M_alt 'P 4/m m m'
_space_group_IT_number 123
_space_group_name_Hall '-P 4 2'
_cell_length_a 4.907
_cell_length_b 4.907
_cell_length_c 5.450
_cell_angle_alpha 90.00
_cell_angle_beta 90.00
_cell_angle_gamma 90.00
loop_
_atom_site_label
_atom_site_type_symbol
_atom_site_fract_x
_atom_site_fract_y
_atom_site_fract_z
Zn1 Zn 0.000 0.000 0.000
Re1 Re 0.500 0.500 0.500
Se1 Se 0.000 0.000 0.500
Br1 Br 0.000 0.500 0.000
```

What should be chosen as the least stable of them? Choose run Q.

Run P
ZrReSe2Br | PBE-GGA | optimized geometry

```
data_ZrReSe2Br
_chemical_formula_sum 'Zr1 Re1 Se2 Br1'
_space_group_name_H-M_alt 'P 4/m m m'
_space_group_IT_number 123
_space_group_name_Hall '-P 4 2'
_cell_length_a 4.846
_cell_length_b 4.846
_cell_length_c 5.027
_cell_angle_alpha 90.00
_cell_angle_beta 90.00
_cell_angle_gamma 90.00
loop_
_atom_site_label
_atom_site_type_symbol
_atom_site_fract_x
_atom_site_fract_y
_atom_site_fract_z
Zr1 Zr 0.000 0.000 0.000
Re1 Re 0.500 0.500 0.500
Se1 Se 0.000 0.500 0.500
Br1 Br 0.500 0.500 0.000
```

Run Q
ZrReSe2Br | PBE-GGA | optimized geometry

```
data_ZrReSe2Br
_chemical_formula_sum 'Zr1 Re1 Se2 Br1'
_space_group_name_H-M_alt 'P 4/m m m'
_space_group_IT_number 123
_space_group_name_Hall '-P 4 2'
_cell_length_a 5.245
_cell_length_b 5.245
_cell_length_c 5.341
_cell_angle_alpha 90.00
_cell_angle_beta 90.00
_cell_angle_gamma 90.00
loop_
_atom_site_label
_atom_site_type_symbol
_atom_site_fract_x
_atom_site_fract_y
_atom_site_fract_z
Zr1 Zr 0.000 0.000 0.000
Re1 Re 0.500 0.500 0.500
Se1 Se 0.000 0.500 0.000
Br1 Br 0.000 0.000 0.500
```

What should be chosen as the least stable of them? Choose run P.